(1)
Computed, not measured: an optimized crystal structure of CePrTmTh at the PBE-GGA level of DFT.

Cell lengths 3.5613, 3.5613, 11.7096 Å; angles 90.00, 98.75, 120.00 degrees
Last column: nearest neighbours and their distance in Å.
Fractional positions:
Ce 0.3034 0.5498 0.8687  3 Th 3.45, 3 Tm 3.47, 6 Ce 3.56
Pr 0.9684 0.3821 0.3661  6 Pr 3.56, 3 Th 3.61, 3 Tm 3.63
Tm 0.4758 0.1359 0.6260  3 Ce 3.47, 6 Tm 3.56, 3 Pr 3.63
Th 0.1303 0.9630 0.1088  3 Ce 3.45, 6 Th 3.56, 3 Pr 3.61

Output
For the energy relative to the lowest polymorph listed for this composition, the calculation gives 0.0 meV/atom. The value obtained for the energy relative to the elements is 0.047 eV per atom. The space-group type is R3m. The total moment comes out at 0.02 μB/f.u. The value obtained for the total energy is -5.604 eV/atom.

=====

(2)
Computed, not measured: an optimized crystal structure of CePrTmTh at the PBE-GGA level of DFT.

Cell lengths 5.6701, 5.6701, 5.6701 Å; angles 60.00, 60.00, 60.00 degrees
Last column: nearest neighbours and their distance in Å.
Fractional positions:
Pr 0.2500 0.2500 0.2500  4 Ce 3.47, 4 Tm 3.47
Tm 0.5000 0.5000 0.5000  4 Th 3.47, 4 Pr 3.47
Ce 0.0000 0.0000 0.0000  4 Pr 3.47, 4 Th 3.47
Th 0.7500 0.7500 0.7500  4 Tm 3.47, 4 Ce 3.47

Output
For the energy relative to the lowest polymorph listed for this composition, the calculation gives 171.5 meV/atom. The value obtained for the energy relative to the elements is 0.218 eV per atom. The space-group type is F-43m. The total moment comes out at 1.43 μB/f.u. The value obtained for the total energy is -5.433 eV/atom.

=====

(3)
Computed, not measured: an optimized crystal structure of CePrTi at the PBE-GGA level of DFT.

Cell lengths 3.5830, 3.5830, 12.6449 Å; angles 90.00, 90.00, 90.00 degrees
Last column: nearest neighbours and their distance in Å.
Fractional positions:
Pr 0.0000 0.5000 0.6105  4 Ce 3.52, 8 Pr 3.58-3.77
Pr 0.5000 0.0000 0.3895  4 Ce 3.52, 8 Pr 3.58-3.77
Ce 0.5000 0.0000 0.8034  5 Ti 3.07-3.17
Ce 0.0000 0.5000 0.1966  5 Ti 3.07-3.17
Ti 0.0000 0.5000 0.9539  4 Ti 2.79, 1 Ce 3.07
Ti 0.5000 0.0000 0.0461  4 Ti 2.79, 1 Ce 3.07

Output
The value obtained for the energy relative to the elements is 0.145 eV per atom. The space-group type is P4/nmm. The total moment comes out at 0.00 μB/f.u. The value obtained for the total energy is -6.058 eV/atom.

=====

(4)
Computed, not measured: an optimized crystal structure of CePr2Ti at the PBE-GGA level of DFT.

Cell lengths 3.4407, 3.4407, 11.3448 Å; angles 81.28, 81.28, 60.00 degrees
Last column: nearest neighbours and their distance in Å.
Fractional positions:
Pr 0.2569 0.2569 0.2293  3 Ti 3.24, 6 Pr 3.44, 3 Ce 3.62
Pr 0.7431 0.7431 0.7707  3 Ti 3.24, 6 Pr 3.44, 3 Ce 3.62
Ce 0.5000 0.5000 0.5000  6 Ce 3.44, 6 Pr 3.62
Ti 0.0000 0.0000 0.0000  6 Pr 3.24, 6 Ti 3.44

Output
The value obtained for the energy relative to the elements is 0.296 eV per atom. The space-group type is R-3m. The total moment comes out at 1.06 μB/f.u. The value obtained for the total energy is -5.551 eV/atom.

=====

(5)
Computed, not measured: an optimized crystal structure of Ce2PrTi at the PBE-GGA level of DFT.

Cell lengths 3.1833, 3.1833, 12.0140 Å; angles 82.39, 82.39, 60.00 degrees
Last column: nearest neighbours and their distance in Å.
Fractional positions:
Pr 0.5000 0.5000 0.5000  6 Pr 3.18
Ce 0.0760 0.0760 0.7719  1 Ti 2.71
Ce 0.9240 0.9240 0.2281  1 Ti 2.71
Ti 0.0000 0.0000 0.0000  2 Ce 2.71

Output
The value obtained for the energy relative to the elements is 0.372 eV per atom. The space-group type is R-3m. The total moment comes out at 0.00 μB/f.u. The value obtained for the total energy is -5.764 eV/atom.

=====

(6)
Computed, not measured: an optimized crystal structure of Ce2PrTl at the PBE-GGA level of DFT.

Cell lengths 3.5359, 3.5359, 11.6471 Å; angles 81.27, 81.27, 60.00 degrees
Last column: nearest neighbours and their distance in Å.
Fractional positions:
Ce 0.0790 0.0790 0.7630  3 Tl 3.41, 6 Ce 3.54, 3 Pr 3.66
Ce 0.2540 0.2540 0.2381  3 Tl 3.40, 6 Ce 3.54, 3 Pr 3.61
Pr 0.5008 0.5008 0.4976  6 Pr 3.54, 6 Ce 3.61-3.66
Tl 0.6662 0.6662 0.0013  6 Ce 3.40-3.41, 6 Tl 3.54

Output
For the energy relative to the lowest polymorph listed for this composition, the calculation gives 195.3 meV/atom. The value obtained for the energy relative to the elements is 0.034 eV per atom. The space-group type is R3m. The total moment comes out at 1.86 μB/f.u. The value obtained for the total energy is -4.719 eV/atom.

=====

(7)
Computed, not measured: an optimized crystal structure of CePr6Tl at the PBE-GGA level of DFT.

Cell lengths 5.0566, 5.0566, 10.4144 Å; angles 90.00, 90.00, 90.00 degrees
Last column: nearest neighbours and their distance in Å.
Fractional positions:
Ce 0.0000 0.0000 0.5000  12 Pr 3.58-3.66
Pr 0.5000 0.5000 0.0000  4 Tl 3.58, 8 Pr 3.60
Pr 0.5000 0.5000 0.5000  4 Ce 3.58, 8 Pr 3.66
Pr 0.5000 0.0000 0.2463  8 Pr 3.58-3.66, 2 Tl 3.60, 2 Ce 3.66
Pr 0.5000 0.0000 0.7537  8 Pr 3.58-3.66, 2 Tl 3.60, 2 Ce 3.66
Pr 0.0000 0.5000 0.2463  8 Pr 3.58-3.66, 2 Tl 3.60, 2 Ce 3.66
Pr 0.0000 0.5000 0.7537  8 Pr 3.58-3.66, 2 Tl 3.60, 2 Ce 3.66
Tl 0.0000 0.0000 0.0000  12 Pr 3.58-3.60

Output
The value obtained for the energy relative to the elements is -0.053 eV per atom. The space-group type is P4/mmm. The total moment comes out at 0.96 μB/f.u. The value obtained for the total energy is -4.675 eV/atom.

=====

(8)
Computed, not measured: an optimized crystal structure of CePr6Tl5 at the PBE-GGA level of DFT.

Cell lengths 6.2590, 10.7054, 8.0625 Å; angles 48.40, 80.25, 75.22 degrees
Last column: nearest neighbours and their distance in Å.
Fractional positions:
Ce 0.0000 0.0000 0.0000  6 Tl 3.50-3.56, 6 Pr 3.60-3.76
Pr 0.7279 0.0936 0.3689  4 Tl 3.27-3.31, 1 Pr 3.45
Pr 0.2721 0.5374 0.3689  4 Tl 3.27-3.31, 1 Pr 3.45
Pr 0.2149 0.2815 0.0000  5 Tl 3.28-3.46, 1 Ce 3.60
Pr 0.7851 0.7185 0.0000  5 Tl 3.28-3.46, 1 Ce 3.60
Pr 0.7279 0.4626 0.6311  4 Tl 3.27-3.31, 1 Pr 3.45
Pr 0.2721 0.9064 0.6311  4 Tl 3.27-3.31, 1 Pr 3.45
Tl 0.5000 0.1307 0.7386  1 Tl 3.15, 4 Pr 3.30-3.46, 2 Ce 3.50
Tl 0.0000 0.2949 0.4102  6 Pr 3.27-3.43, 1 Ce 3.56
Tl 0.5000 0.5000 0.0000  6 Pr 3.28-3.30
Tl 0.0000 0.7051 0.5898  6 Pr 3.27-3.43, 1 Ce 3.56
Tl 0.5000 0.8693 0.2614  1 Tl 3.15, 4 Pr 3.30-3.46, 2 Ce 3.50

Output
For the energy relative to the lowest polymorph listed for this composition, the calculation gives 109.2 meV/atom. The value obtained for the energy relative to the elements is -0.178 eV per atom. The space-group type is C2/m. The total moment comes out at 1.72 μB/f.u. The value obtained for the total energy is -4.048 eV/atom.

=====

(9)
Computed, not measured: an optimized crystal structure of CePr4Tl2 at the PBE-GGA level of DFT.

Cell lengths 5.6028, 5.6028, 9.7578 Å; angles 73.32, 73.32, 60.00 degrees
Last column: nearest neighbours and their distance in Å.
Fractional positions:
Ce 0.5000 0.5000 0.5000  2 Tl 3.15, 6 Pr 3.38
Pr 0.7315 0.7315 0.8055  4 Tl 3.24-3.25
Pr 0.8685 0.8685 0.3945  3 Ce 3.38, 6 Pr 3.72-3.77
Pr 0.2685 0.2685 0.1945  4 Tl 3.24-3.25
Pr 0.1315 0.1315 0.6055  3 Ce 3.38, 6 Pr 3.72-3.77
Tl 0.6141 0.6141 0.1576  1 Ce 3.15, 4 Pr 3.24-3.25
Tl 0.3859 0.3859 0.8424  1 Ce 3.15, 4 Pr 3.24-3.25

Output
The value obtained for the energy relative to the elements is 0.046 eV per atom. The space-group type is R-3m. The total moment comes out at 1.69 μB/f.u. The value obtained for the total energy is -4.209 eV/atom.

=====

(10)
Computed, not measured: an optimized crystal structure of Ce2PrTl2 at the PBE-GGA level of DFT.

Cell lengths 4.4111, 4.4111, 8.1974 Å; angles 104.06, 104.06, 91.36 degrees
Last column: nearest neighbours and their distance in Å.
Fractional positions:
Ce 0.2190 0.7809 0.5000  1 Ce 2.77
Ce 0.7810 0.2191 0.5000  1 Ce 2.77
Pr 0.0000 0.0000 0.0000  8 Tl 3.40-3.48
Tl 0.5859 0.5859 0.1913  1 Tl 2.94, 4 Ce 3.22-3.28
Tl 0.4141 0.4141 0.8087  1 Tl 2.94, 4 Ce 3.22-3.28

Output
For the energy relative to the lowest polymorph listed for this composition, the calculation gives 0.0 meV/atom. The value obtained for the energy relative to the elements is -0.160 eV per atom. The space-group type is C2/m. The total moment comes out at 0.70 μB/f.u. The value obtained for the total energy is -4.436 eV/atom.

=====

(11)
Computed, not measured: an optimized crystal structure of Ce2PrTl at the PBE-GGA level of DFT.

Cell lengths 5.1198, 4.7909, 4.7909 Å; angles 90.00, 90.00, 90.00 degrees
Last column: nearest neighbours and their distance in Å.
Fractional positions:
Pr 0.5000 0.5000 0.5000  4 Tl 3.39, 8 Ce 3.51
Tl 0.5000 0.0000 0.0000  4 Pr 3.39, 8 Ce 3.51
Ce 0.0000 0.0000 0.5000  4 Ce 3.39, 4 Tl 3.51, 4 Pr 3.51
Ce 0.0000 0.5000 0.0000  4 Ce 3.39, 4 Tl 3.51, 4 Pr 3.51

Output
For the energy relative to the lowest polymorph listed for this composition, the calculation gives 38.1 meV/atom. The value obtained for the energy relative to the elements is -0.123 eV per atom. The space-group type is P4/mmm. The total moment comes out at 2.11 μB/f.u. The value obtained for the total energy is -4.877 eV/atom.

=====

(12)
Computed, not measured: an optimized crystal structure of CePr4Tl7 at the PBE-GGA level of DFT.

Cell lengths 5.8785, 10.4182, 7.3214 Å; angles 83.53, 66.33, 73.61 degrees
Last column: nearest neighbours and their distance in Å.
Fractional positions:
Ce 0.0000 0.0000 0.0000  2 Tl 2.94
Pr 0.5883 0.2182 0.6052  8 Tl 3.21-3.49
Pr 0.4117 0.7818 0.3948  8 Tl 3.21-3.49
Pr 0.7331 0.6632 0.8706  8 Tl 3.27-3.51
Pr 0.2669 0.3368 0.1294  8 Tl 3.27-3.51
Tl 0.7822 0.9007 0.5349  4 Pr 3.21-3.31, 4 Tl 3.27-3.58
Tl 0.2178 0.0993 0.4651  4 Pr 3.21-3.31, 4 Tl 3.27-3.58
Tl 0.0802 0.6839 0.1557  2 Tl 3.23-3.34, 1 Ce 3.33, 5 Pr 3.47-3.51
Tl 0.9198 0.3161 0.8443  2 Tl 3.23-3.34, 1 Ce 3.33, 5 Pr 3.47-3.51
Tl 0.3687 0.5367 0.7259  2 Tl 3.12-3.23, 5 Pr 3.28-3.36
Tl 0.5000 0.0000 0.0000  2 Ce 2.94, 2 Tl 3.27
Tl 0.6313 0.4633 0.2741  2 Tl 3.12-3.23, 5 Pr 3.28-3.36

Output
The value obtained for the energy relative to the elements is -0.142 eV per atom. The space-group type is C2/m. The total moment comes out at 1.11 μB/f.u. The value obtained for the total energy is -3.610 eV/atom.